(1)
First-principles (PBE) data for TbEr2Ga after structural relaxation, as listed in Alexandria via LeMat-Bulk.

Cell and atoms, written as POSCAR:
```
TbEr2Ga
1.0
-1.964 3.131 -2.012
-3.680 -5.076 0.099
-3.589 2.755 7.789
Er Ga Tb
4 2 2
direct
0.644 0.288 0.057
0.356 0.712 0.557
0.644 0.288 0.443
0.356 0.712 0.943
0.253 0.507 0.250
0.747 0.493 0.750
0.940 0.881 0.250
0.060 0.119 0.750
```

D(E_F) (states/eV/cell): 11.72
DFT total energy (eV/atom): -4.45
Relative energy among the computed polymorphs (meV per atom): 34
M_tot (μB/atom): 0.00
DFT formation energy (eV/atom): -0.252
ρ (g/cm³): 8.4

---

(2)
First-principles (PBE) data for Na2NbPbS4 after structural relaxation, as listed in Alexandria via LeMat-Bulk.

Cell and atoms, written as POSCAR:
```
Na2NbPbS4
1.0
6.554 0.000 0.000
0.000 7.318 0.000
0.000 0.000 9.617
S Na Nb Pb
8 4 2 2
direct
0.376 0.195 0.000
0.910 0.299 0.798
0.876 0.805 0.500
0.410 0.701 0.298
0.884 0.860 0.000
0.384 0.140 0.500
0.410 0.701 0.702
0.910 0.299 0.202
0.480 0.326 0.741
0.480 0.326 0.259
0.980 0.674 0.759
0.980 0.674 0.241
0.017 0.158 0.000
0.517 0.842 0.500
0.444 0.832 0.000
0.944 0.168 0.500
```

D(E_F) (states/eV/cell): 4.38
DFT total energy (eV/atom): -4.96
M_tot (μB/atom): 0.02
ρ (g/cm³): 3.4

---

(3)
First-principles (PBE) data for U2GaSi4Rh3 after structural relaxation, as listed in Alexandria via LeMat-Bulk.

Cell and atoms, written as POSCAR:
```
U2GaSi4Rh3
1.0
-0.861 3.294 2.268
1.279 -1.972 3.348
9.320 3.477 -1.512
U Si Rh Ga
2 4 3 1
direct
0.500 0.000 0.243
0.000 0.500 0.757
0.500 0.500 0.000
0.500 0.000 0.643
0.000 0.000 0.000
0.000 0.500 0.357
0.500 0.000 0.875
0.000 0.500 0.125
0.000 0.000 0.500
0.500 0.500 0.500
```

D(E_F) (states/eV/cell): 16.60
DFT total energy (eV/atom): -7.55
M_tot (μB/atom): 0.40
ρ (g/cm³): 9.5

---

(4)
First-principles (PBE) data for SiIrOs2 after structural relaxation, as listed in Alexandria via LeMat-Bulk.

Cell and atoms, written as POSCAR:
```
SiIrOs2
1.0
2.765 0.000 0.000
-1.371 2.401 0.000
0.000 0.000 8.656
Ir Si Os
1 1 2
direct
0.500 0.500 0.725
0.000 0.000 0.499
0.500 0.500 0.272
0.000 0.000 0.004
```

D(E_F) (states/eV/cell): 3.52
DFT total energy (eV/atom): -8.85
M_tot (μB/atom): 0.00
ρ (g/cm³): 17.4

---

(5)
First-principles (PBE) data for BeAsP3 after structural relaxation, as listed in Alexandria via LeMat-Bulk.

Cell and atoms, written as POSCAR:
```
BeAsP3
1.0
-1.711 -0.286 4.337
-3.528 -2.631 -1.565
2.539 -3.849 0.748
As Be P
1 1 3
direct
0.000 0.000 0.000
0.500 0.500 0.500
0.500 0.000 0.000
0.000 0.500 0.000
0.000 0.000 0.500
```

D(E_F) (states/eV/cell): 4.22
DFT total energy (eV/atom): -3.50
Relative energy among the computed polymorphs (meV per atom): 695
M_tot (μB/atom): 0.00
DFT formation energy (eV/atom): 1.422
ρ (g/cm³): 2.9

---

(6)
First-principles (PBE) data for TiMnGaMo2 after structural relaxation, as listed in Alexandria via LeMat-Bulk.

Cell and atoms, written as POSCAR:
```
TiMnGaMo2
1.0
4.643 0.000 0.000
0.000 4.272 0.000
0.000 0.000 4.643
Mo Ti Mn Ga
2 1 1 1
direct
0.500 0.000 0.000
0.000 0.000 0.500
0.500 0.500 0.500
0.000 0.500 0.000
0.000 0.000 0.000
```

D(E_F) (states/eV/cell): 10.57
DFT total energy (eV/atom): -7.04
M_tot (μB/atom): 0.00
DFT formation energy (eV/atom): 1.310
ρ (g/cm³): 6.6

---

Question: DFT total energy of number 4 (SiIrOs2)?
Answer: -8.85 eV/atom

---

Repeat the fourth record exactly.
First-principles (PBE) data for SiIrOs2 after structural relaxation, as listed in Alexandria via LeMat-Bulk.

Cell and atoms, written as POSCAR:
```
SiIrOs2
1.0
2.765 0.000 0.000
-1.371 2.401 0.000
0.000 0.000 8.656
Ir Si Os
1 1 2
direct
0.500 0.500 0.725
0.000 0.000 0.499
0.500 0.500 0.272
0.000 0.000 0.004
```

D(E_F) (states/eV/cell): 3.52
DFT total energy (eV/atom): -8.85
M_tot (μB/atom): 0.00
ρ (g/cm³): 17.4